Record 1
A relaxed SrPa2CoS8 crystal, computed with PBE.

a b c (Å): 5.903 5.903 8.245
angles (deg): 90.00 90.00 120.00
Fractional positions:
Sr1 0.000 0.000 0.000
Pa1 0.333 0.667 0.373
Pa2 0.667 0.333 0.627
Co1 0.000 0.000 0.500
S1 0.171 0.342 0.664
S2 0.171 0.829 0.664
S3 0.333 0.667 0.074
S4 0.342 0.171 0.336
S5 0.658 0.829 0.664
S6 0.667 0.333 0.926
S7 0.829 0.171 0.336
S8 0.829 0.658 0.336

Uncorrected formation energy in eV/f.u.: -14.3

---

Record 2
A relaxed CoAgP crystal, computed with PBE.

a b c (Å): 3.992 3.992 3.992
angles (deg): 60.00 60.00 60.00
Fractional positions:
Co1 0.000 0.000 0.000
Ag1 0.500 0.500 0.500
P1 0.250 0.250 0.250

ΔH_f (0 K) in meV per atom: 186
Relative energy among the computed polymorphs in meV/atom: 372

---

Record 3
A relaxed Dy3Ga8Ir3 crystal, computed with PBE.

a b c (Å): 8.182 8.182 8.182
angles (deg): 150.21 106.03 81.72
Fractional positions:
Dy1 0.000 0.000 0.000
Dy2 0.330 0.330 0.000
Dy3 0.670 0.670 0.000
Ga1 0.041 0.670 0.371
Ga2 0.161 0.877 0.285
Ga3 0.299 0.670 0.629
Ga4 0.408 0.123 0.285
Ga5 0.592 0.877 0.715
Ga6 0.701 0.330 0.371
Ga7 0.839 0.123 0.715
Ga8 0.959 0.330 0.629
Ir1 0.279 0.500 0.779
Ir2 0.500 0.000 0.500
Ir3 0.721 0.500 0.221

ΔH_f (0 K) in meV per atom: -660

---

Record 4
A relaxed NiBi6Rh2 crystal, computed with PBE.

a b c (Å): 7.143 6.845 11.099
angles (deg): 90.00 125.68 90.00
Fractional positions:
Ni1 0.000 0.000 0.000
Ni2 0.000 0.500 0.500
Bi1 0.093 0.164 0.424
Bi2 0.093 0.336 0.924
Bi3 0.285 0.662 0.441
Bi4 0.285 0.838 0.941
Bi5 0.398 0.516 0.765
Bi6 0.398 0.984 0.265
Bi7 0.602 0.016 0.735
Bi8 0.602 0.484 0.235
Bi9 0.715 0.162 0.059
Bi10 0.715 0.338 0.559
Bi11 0.907 0.664 0.076
Bi12 0.907 0.836 0.576
Rh1 0.250 0.141 0.754
Rh2 0.250 0.359 0.254
Rh3 0.750 0.641 0.746
Rh4 0.750 0.859 0.246

ΔH_f (0 K) in meV per atom: -55

---

Record 5
A relaxed TcTePb2 crystal, computed with PBE.

a b c (Å): 4.686 5.788 5.788
angles (deg): 42.79 90.00 90.00
Fractional positions:
Tc1 0.000 0.000 0.000
Te1 0.500 0.124 0.124
Pb1 0.000 0.713 0.713
Pb2 0.500 0.409 0.409

Uncorrected formation energy in eV/f.u.: 1.7

---

Record 6
A relaxed SrCe2Sb3 crystal, computed with PBE.

a b c (Å): 7.954 7.954 7.954
angles (deg): 146.54 132.09 59.69
Fractional positions:
Sr1 0.000 0.000 0.000
Ce1 0.336 0.336 0.000
Ce2 0.664 0.664 0.000
Sb1 0.180 0.680 0.500
Sb2 0.500 0.000 0.500
Sb3 0.820 0.320 0.500

Uncorrected formation energy in eV/f.u.: -6.1

---

Record 7
A relaxed RbGaAg2F8 crystal, computed with PBE.

a b c (Å): 5.124 5.370 7.560
angles (deg): 74.99 78.70 84.91
Fractional positions:
Rb1 0.000 0.000 0.000
Ga1 0.000 0.000 0.500
Ag1 0.396 0.483 0.239
Ag2 0.604 0.517 0.761
F1 0.089 0.749 0.708
F2 0.232 0.820 0.329
F3 0.289 0.214 0.496
F4 0.492 0.267 0.028
F5 0.508 0.733 0.972
F6 0.711 0.786 0.504
F7 0.768 0.180 0.671
F8 0.911 0.251 0.292

Uncorrected formation energy in eV/f.u.: -22.6

---

Record 8
A relaxed KBeOs2 crystal, computed with PBE.

a b c (Å): 2.829 2.829 8.381
angles (deg): 90.00 90.00 90.00
Fractional positions:
K1 0.000 0.000 0.000
Be1 0.000 0.000 0.500
Os1 0.500 0.500 0.348
Os2 0.500 0.500 0.652

ΔH_f (0 K) in meV per atom: 780

---

Record 9
A relaxed NpCoH8Pt2 crystal, computed with PBE.

a b c (Å): 4.968 4.968 5.348
angles (deg): 90.00 90.00 120.00
Fractional positions:
Np1 0.000 0.000 0.000
Co1 0.000 0.000 0.500
H1 0.168 0.335 0.356
H2 0.168 0.832 0.356
H3 0.333 0.667 0.835
H4 0.335 0.168 0.644
H5 0.665 0.832 0.356
H6 0.667 0.333 0.165
H7 0.832 0.168 0.644
H8 0.832 0.665 0.644
Pt1 0.333 0.667 0.137
Pt2 0.667 0.333 0.863

---

Record 10
A relaxed AcAg2Sn4 crystal, computed with PBE.

a b c (Å): 21.115 4.764 7.402
angles (deg): 90.00 90.00 90.00
Fractional positions:
Ac1 0.137 0.250 0.020
Ac2 0.363 0.750 0.520
Ac3 0.637 0.250 0.480
Ac4 0.863 0.750 0.980
Ag1 0.047 0.750 0.737
Ag2 0.214 0.250 0.508
Ag3 0.286 0.750 0.008
Ag4 0.453 0.250 0.237
Ag5 0.547 0.750 0.763
Ag6 0.714 0.250 0.992
Ag7 0.786 0.750 0.492
Ag8 0.953 0.250 0.263
Sn1 0.024 0.750 0.143
Sn2 0.068 0.250 0.495
Sn3 0.187 0.750 0.718
Sn4 0.193 0.750 0.306
Sn5 0.307 0.250 0.806
Sn6 0.313 0.250 0.218
Sn7 0.432 0.750 0.995
Sn8 0.476 0.250 0.643
Sn9 0.524 0.750 0.357
Sn10 0.568 0.250 0.005
Sn11 0.687 0.750 0.782
Sn12 0.693 0.750 0.194
Sn13 0.807 0.250 0.694
Sn14 0.813 0.250 0.282
Sn15 0.932 0.750 0.505
Sn16 0.976 0.250 0.857

ΔH_f (0 K) in meV per atom: -240

---

Record 11
A relaxed Pr3Sn2Hg4 crystal, computed with PBE.

a b c (Å): 6.433 6.433 9.475
angles (deg): 109.62 109.62 43.33
Fractional positions:
Pr1 0.000 0.000 0.000
Pr2 0.325 0.325 0.355
Pr3 0.675 0.675 0.645
Sn1 0.385 0.385 0.725
Sn2 0.615 0.615 0.275
Hg1 0.010 0.010 0.352
Hg2 0.238 0.238 0.913
Hg3 0.762 0.762 0.087
Hg4 0.990 0.990 0.648

ΔH_f (0 K) in meV per atom: -534

---

Record 12
A relaxed LaNdYIn crystal, computed with PBE.

a b c (Å): 5.622 5.622 5.622
angles (deg): 60.00 60.00 60.00
Fractional positions:
La1 0.000 0.000 0.000
Nd1 0.500 0.500 0.500
Y1 0.250 0.250 0.250
In1 0.750 0.750 0.750

ΔH_f (0 K) in meV per atom: -153
Relative energy among the computed polymorphs in meV/atom: 0

---

Record 13
A relaxed TmHgF4 crystal, computed with PBE.

a b c (Å): 6.741 5.496 6.109
angles (deg): 90.00 102.72 90.00
Fractional positions:
Tm1 0.000 0.000 0.000
Tm2 0.000 0.500 0.500
Hg1 0.500 0.000 0.500
Hg2 0.500 0.500 0.000
F1 0.087 0.204 0.734
F2 0.087 0.296 0.234
F3 0.301 0.642 0.613
F4 0.301 0.858 0.113
F5 0.699 0.142 0.887
F6 0.699 0.358 0.387
F7 0.913 0.704 0.766
F8 0.913 0.796 0.266

Uncorrected formation energy in eV/f.u.: -18.0

---

Record 14
A relaxed BaTlPdAu2 crystal, computed with PBE.

a b c (Å): 5.333 5.333 5.096
angles (deg): 90.00 90.00 90.00
Fractional positions:
Ba1 0.000 0.000 0.000
Tl1 0.500 0.500 0.000
Pd1 0.500 0.500 0.500
Au1 0.000 0.500 0.500
Au2 0.500 0.000 0.500

ΔH_f (0 K) in meV per atom: -296

---

Record 15
A relaxed Cd2IrCl crystal, computed with PBE.

a b c (Å): 3.735 3.735 7.162
angles (deg): 90.00 90.00 90.00
Fractional positions:
Cd1 0.000 0.000 0.000
Cd2 0.500 0.500 0.327
Ir1 0.500 0.500 0.962
Cl1 0.000 0.000 0.492

Uncorrected formation energy in eV/f.u.: 0.8
Relative energy among the computed polymorphs in meV/atom: 341

---

Record 16
A relaxed Dy2NbP crystal, computed with PBE.

a b c (Å): 9.589 9.589 9.589
angles (deg): 21.33 21.33 21.33
Fractional positions:
Dy1 0.106 0.106 0.106
Dy2 0.894 0.894 0.894
Nb1 0.000 0.000 0.000
P1 0.500 0.500 0.500

ΔH_f (0 K) in meV per atom: 43

---

Record 17
A relaxed LaSb2Mo crystal, computed with PBE.

a b c (Å): 6.009 6.009 6.009
angles (deg): 136.29 136.29 63.53
Fractional positions:
La1 0.000 0.000 0.000
Sb1 0.500 0.500 0.000
Sb2 0.750 0.250 0.500
Mo1 0.250 0.750 0.500

Uncorrected formation energy in eV/f.u.: 0.1
Relative energy among the computed polymorphs in meV/atom: 322

---

Record 18
A relaxed Li2TbZn crystal, computed with PBE.

a b c (Å): 10.522 10.522 10.522
angles (deg): 17.42 17.42 17.42
Fractional positions:
Li1 0.099 0.099 0.099
Li2 0.901 0.901 0.901
Tb1 0.000 0.000 0.000
Zn1 0.500 0.500 0.500

ΔH_f (0 K) in meV per atom: 175
Relative energy among the computed polymorphs in meV/atom: 170

---

Density of states at the Fermi level readings, ordered: 0.397 0.673 0.503 0.627 0.671 1.443 0.027 1.231 0.757 0.322 0.348 1.596 0.298 0.515 0.472 1.116 0.844 0.583 states/eV/atom
Total DFT energy (no corrections) readings, ordered: -0.230 -0.181 -0.194 -0.181 -0.176 -0.196 -0.145 -0.222 -0.179 -0.144 -0.116 -0.179 -0.185 -0.129 -0.107 -0.225 -0.219 -0.083 Ha/atom